NaTiPd2: optimized geometry, PBE-GGA.

Computed properties:
- SG: R-3m
- ΔE_f: -0.262 eV per atom
- V: 17.263 Å³ per atom

Lattice parameters (Å, degrees): 9.345 9.345 9.345 18.14 18.14 18.14
Element x y z (fractional)
Na 0.000 0.000 0.000
Ti 0.500 0.500 0.500
Pd 0.241 0.241 0.241
Pd 0.759 0.759 0.759